No. 1
This record from Alexandria via LeMat-Bulk describes a relaxed structure of Li4ReSe. The functional is PBE.

```
Li4ReSe
1.0
0.000 3.463 3.463
3.463 0.000 3.463
3.463 3.463 0.000
Li Se Re
4 1 1
Cartesian
2.609 4.318 4.318
4.318 4.318 2.609
4.318 2.609 4.318
2.609 2.609 2.609
0.000 0.000 0.000
5.195 5.195 5.195
```

## Properties
As for the calculated volume: 83 Å³/cell. The energy comes out at -3.50 eV/atom. Its space-group type is F-43m, No. 216. Its formation energy (no corrections) is 0.427 eV/atom.

=====

No. 2
This record from Alexandria via LeMat-Bulk describes a relaxed structure of Li2ReSe. The functional is PBE.

```
Li2ReSe
1.0
-7.125 -3.303 4.435
-5.101 -4.771 5.706
-5.738 -2.191 6.604
Re Li Se
1 2 1
Cartesian
-4.491 -2.566 4.186
-0.039 -0.022 0.037
-8.943 -5.110 8.336
-13.473 -7.698 12.559
```

## Properties
As for the calculated volume: 60 Å³/cell. The energy comes out at -4.89 eV/atom. Its space-group type is R-3m, No. 166. Its formation energy (no corrections) is 0.048 eV/atom.

=====

No. 3
This record from Alexandria via LeMat-Bulk describes a relaxed structure of LiRe3Se. The functional is PBE.

```
LiRe3Se
1.0
-1.836 0.750 -4.109
0.097 -4.480 -0.861
-4.176 -0.434 1.786
Se Re Li
1 3 1
Cartesian
0.000 0.000 0.000
-2.088 -0.217 0.893
0.048 -2.240 -0.431
-0.918 0.375 -2.055
-2.958 -2.081 -1.592
```

## Properties
As for the calculated volume: 95 Å³/cell. The energy comes out at -6.88 eV/atom. Its space-group type is Pm-3m, No. 221. Its formation energy (no corrections) is 1.667 eV/atom.

=====

No. 4
This record from Alexandria via LeMat-Bulk describes a relaxed structure of LiReSe4. The functional is PBE.

```
LiReSe4
1.0
0.000 4.058 4.058
4.058 0.000 4.058
4.058 4.058 0.000
Se Li Re
4 1 1
Cartesian
5.078 5.078 3.038
3.038 3.038 3.038
5.078 3.038 5.078
3.038 5.078 5.078
6.087 6.087 6.087
0.000 0.000 0.000
```

## Properties
As for the calculated volume: 134 Å³/cell. The energy comes out at -3.69 eV/atom. Its space-group type is F-43m, No. 216. Its formation energy (no corrections) is 1.027 eV/atom.

=====

No. 5
This record from Alexandria via LeMat-Bulk describes a relaxed structure of Li2ReSe. The functional is PBE.

```
Li2ReSe
1.0
-0.328 3.432 2.545
-3.767 0.990 1.787
-0.570 -0.507 4.217
Li Se Re
2 1 1
Cartesian
0.000 0.000 0.000
-3.499 2.936 6.412
-1.166 0.979 2.137
-2.332 1.958 4.275
```

## Properties
As for the calculated volume: 56 Å³/cell. The energy comes out at -4.63 eV/atom. Its space-group type is F-43m, No. 216. Its formation energy (no corrections) is 0.307 eV/atom.

=====

No. 6
This record from Alexandria via LeMat-Bulk describes a relaxed structure of Li2ReSe. The functional is PBE.

```
Li2ReSe
1.0
-1.814 -1.474 1.289
-0.790 -1.056 -2.320
5.821 -6.362 0.914
Se Re Li
1 1 2
Cartesian
3.063 -6.037 0.170
0.153 -2.856 -0.287
2.900 -3.170 0.455
0.010 -0.011 0.002
```

## Properties
As for the calculated volume: 62 Å³/cell. The energy comes out at -4.94 eV/atom. Its space-group type is P4/mmm, No. 123. Its formation energy (no corrections) is 0.004 eV/atom.

=====

No. 7
This record from Alexandria via LeMat-Bulk describes a relaxed structure of LiRe3Se. The functional is PBE.

```
LiRe3Se
1.0
-2.730 0.083 -3.224
3.017 -1.428 -2.591
-1.141 -3.976 0.863
Re Se Li
3 1 1
Cartesian
-0.570 -1.988 0.432
-1.365 0.042 -1.612
1.508 -0.714 -1.295
-0.427 -2.660 -2.476
0.000 0.000 0.000
```

## Properties
As for the calculated volume: 75 Å³/cell. The energy comes out at -6.73 eV/atom. Its space-group type is Pm-3m, No. 221. Its formation energy (no corrections) is 1.815 eV/atom.

=====

No. 8
This record from Alexandria via LeMat-Bulk describes a relaxed structure of LiRe2TeSe. The functional is PBE.

```
LiRe2TeSe
1.0
-0.935 -3.195 3.119
3.042 1.237 2.179
-2.745 2.924 2.173
Re Se Li Te
2 1 1 1
Cartesian
-0.468 -1.598 1.559
-1.373 1.462 1.086
1.521 0.618 1.090
0.000 0.000 0.000
-0.319 0.483 3.735
```

## Properties
As for the calculated volume: 82 Å³/cell. The energy comes out at -5.30 eV/atom. Its space-group type is P4/mmm, No. 123. Its formation energy (no corrections) is 1.385 eV/atom.

=====

No. 9
This record from Alexandria via LeMat-Bulk describes a relaxed structure of LiReSi. The functional is PBE.

```
LiReSi
1.0
-1.781 3.749 1.710
-4.142 1.054 -1.373
2.586 -3.022 2.081
Si Li Re
1 1 1
Cartesian
-3.982 3.229 0.227
-5.920 4.800 0.337
-1.944 1.576 0.111
```

## Properties
As for the calculated volume: 39 Å³/cell. The energy comes out at -6.56 eV/atom. Its space-group type is Imm2, No. 44. Its formation energy (no corrections) is 0.034 eV/atom.

=====

No. 10
This record from Alexandria via LeMat-Bulk describes a relaxed structure of LiRe2Si. The functional is PBE.

```
LiRe2Si
1.0
-3.857 0.518 1.444
0.395 -1.947 1.754
1.774 2.917 3.692
Re Li Si
2 1 1
Cartesian
1.776 2.824 3.730
1.083 0.577 2.685
-0.301 0.986 4.807
-1.386 0.501 2.084
```

## Properties
As for the calculated volume: 55 Å³/cell. The energy comes out at -7.95 eV/atom. Its space-group type is P2/m, No. 10. Its formation energy (no corrections) is 0.113 eV/atom.

=====

No. 11
This record from Alexandria via LeMat-Bulk describes a relaxed structure of LiRe2Si. The functional is PBE.

```
LiRe2Si
1.0
-0.885 0.986 -2.261
-0.754 -2.396 -0.749
-7.508 1.271 3.494
Si Re Li
1 2 1
Cartesian
-2.697 -0.387 -0.632
-3.625 0.614 1.687
-0.128 0.022 0.060
-6.451 0.248 1.115
```

## Properties
As for the calculated volume: 58 Å³/cell. The energy comes out at -7.60 eV/atom. Its space-group type is P4/mmm, No. 123. Its formation energy (no corrections) is 0.456 eV/atom.

=====

No. 12
This record from Alexandria via LeMat-Bulk describes a relaxed structure of Li3ReSi. The functional is PBE.

```
Li3ReSi
1.0
4.260 0.000 0.000
0.000 4.260 0.000
0.000 0.000 4.260
Li Re Si
3 1 1
Cartesian
2.130 0.000 0.000
0.000 0.000 2.130
0.000 2.130 0.000
2.130 2.130 2.130
0.000 0.000 0.000
```

## Properties
As for the calculated volume: 77 Å³/cell. The energy comes out at -3.43 eV/atom. Its space-group type is Pm-3m, No. 221. Its formation energy (no corrections) is 1.288 eV/atom.